1.
# KCaGeCl5

A relaxed KCaGeCl5 crystal (PBE-GGA, the Alexandria database).

Properties
- Energy: -30.36 eV/f.u.
- Space group: No. 15
- E_form (uncorrected): -1677 meV per atom
- N(E_F): 0.0 states/eV/cell
- Size of the total moment: 0.0 μB per formula unit

abc: 7.439 7.439 10.207
angles: 106.08 106.08 96.76
Element x y z (fractional)
1 K 0.072 0.928 0.750
2 K 0.928 0.072 0.250
3 Ca 0.000 0.500 0.000
4 Ca 0.500 0.000 0.500
5 Ge 0.482 0.518 0.750
6 Ge 0.518 0.482 0.250
7 Cl 0.191 0.233 0.077
8 Cl 0.217 0.783 0.250
9 Cl 0.233 0.191 0.577
10 Cl 0.293 0.634 0.902
11 Cl 0.366 0.707 0.598
12 Cl 0.634 0.293 0.402
13 Cl 0.707 0.366 0.098
14 Cl 0.767 0.809 0.423
15 Cl 0.783 0.217 0.750
16 Cl 0.809 0.767 0.923

***

2.
# PmDy6Tm3Th2

A relaxed PmDy6Tm3Th2 crystal (PBE-GGA, the Alexandria database).

Properties
- Energy: -60.21 eV/f.u.
- Space group: No. 12
- Energy of formation from the pure elements: 34 meV per atom
- N(E_F): 17.5 states/eV/cell
- Size of the total moment: 0.0 μB per formula unit

abc: 6.151 6.151 11.730
angles: 95.03 95.03 119.93
Element x y z (fractional)
1 Pm 0.000 0.000 0.000
2 Dy 0.084 0.422 0.250
3 Dy 0.253 0.253 0.750
4 Dy 0.422 0.084 0.250
5 Dy 0.578 0.916 0.750
6 Dy 0.747 0.747 0.250
7 Dy 0.916 0.578 0.750
8 Tm 0.166 0.834 0.500
9 Tm 0.500 0.500 0.500
10 Tm 0.834 0.166 0.500
11 Th 0.333 0.667 0.000
12 Th 0.667 0.333 0.000

***

3.
# LaIn2As

A relaxed LaIn2As crystal (PBE-GGA, the Alexandria database).

Properties
- Energy: -17.03 eV/f.u.
- Space group: No. 65
- Energy of formation from the pure elements: -493 meV per atom
- N(E_F): 2.3 states/eV/cell
- Size of the total moment: 0.0 μB per formula unit

abc: 4.573 4.573 5.383
angles: 90.00 90.00 95.78
Element x y z (fractional)
1 La 0.000 0.000 0.000
2 In 0.283 0.717 0.500
3 In 0.717 0.283 0.500
4 As 0.500 0.500 0.000

***

4.
# BAu2C

A relaxed BAu2C crystal (PBE-GGA, the Alexandria database).

Properties
- Energy: -20.26 eV/f.u.
- Space group: No. 8
- Energy of formation from the pure elements: 549 meV per atom
- N(E_F): 1.2 states/eV/cell
- Size of the total moment: 0.0 μB per formula unit

abc: 4.179 4.179 5.404
angles: 112.50 112.50 39.67
Element x y z (fractional)
1 B 0.000 0.000 0.000
2 Au 0.135 0.135 0.683
3 Au 0.305 0.305 0.311
4 C 0.427 0.427 0.993

***

5.
# AcPrSnSb

A relaxed AcPrSnSb crystal (PBE-GGA, the Alexandria database).

Properties
- Energy: -19.80 eV/f.u.
- Space group: No. 216
- E_form (uncorrected): -697 meV per atom
- N(E_F): 5.0 states/eV/cell
- Size of the total moment: 0.0 μB per formula unit

abc: 5.684 5.684 5.684
angles: 60.00 60.00 60.00
Element x y z (fractional)
1 Ac 0.000 0.000 0.000
2 Pr 0.500 0.500 0.500
3 Sn 0.750 0.750 0.750
4 Sb 0.250 0.250 0.250

***

6.
# ZnSb2TeI

A relaxed ZnSb2TeI crystal (PBE-GGA, the Alexandria database).

Properties
- Energy: -10.43 eV/f.u.
- Space group: No. 123
- E_form (uncorrected): 756 meV per atom
- N(E_F): 4.6 states/eV/cell
- Size of the total moment: 1.6 μB per formula unit

abc: 5.870 5.870 6.213
angles: 90.00 90.00 90.00
Element x y z (fractional)
1 Zn 0.000 0.000 0.000
2 Sb 0.000 0.500 0.500
3 Sb 0.500 0.000 0.500
4 Te 0.500 0.500 0.500
5 I 0.500 0.500 0.000

***

7.
# LiSmNpN3

A relaxed LiSmNpN3 crystal (PBE-GGA, the Alexandria database).

Properties
- Energy: -50.75 eV/f.u.
- Space group: No. 11
- E_form (uncorrected): -1034 meV per atom
- N(E_F): 8.7 states/eV/cell
- Size of the total moment: 1.9 μB per formula unit

abc: 6.915 3.456 7.099
angles: 90.00 103.54 90.00
Element x y z (fractional)
1 Li 0.082 0.250 0.074
2 Li 0.918 0.750 0.926
3 Sm 0.281 0.750 0.818
4 Sm 0.719 0.250 0.182
5 Np 0.324 0.750 0.326
6 Np 0.676 0.250 0.674
7 N 0.025 0.750 0.209
8 N 0.363 0.250 0.117
9 N 0.367 0.250 0.579
10 N 0.633 0.750 0.421
11 N 0.637 0.750 0.883
12 N 0.975 0.250 0.791

***

8.
# Ti2RePb

A relaxed Ti2RePb crystal (PBE-GGA, the Alexandria database).

Properties
- Energy: -31.82 eV/f.u.
- Space group: No. 123
- Energy of formation from the pure elements: 32 meV per atom
- N(E_F): 3.4 states/eV/cell
- Size of the total moment: 0.0 μB per formula unit

abc: 4.472 4.472 3.477
angles: 90.00 90.00 90.00
Element x y z (fractional)
1 Ti 0.000 0.500 0.000
2 Ti 0.500 0.000 0.000
3 Re 0.000 0.000 0.500
4 Pb 0.500 0.500 0.500